1.
The following is a DFT calculation (PBE-GGA) of a geometry-optimized Ti2V2H5 structure.

POSCAR file:
```
Ti2V2H5
1.0
-4.247 -0.329 1.943
-1.247 -3.089 -3.249
4.873 -3.168 4.474
Ti V H
4 4 10
direct
0.000 0.023 0.000 Ti
0.500 0.523 0.000 Ti
0.252 0.283 0.500 Ti
0.748 0.783 0.500 Ti
0.124 0.653 0.250 V
0.876 0.403 0.750 V
0.626 0.153 0.250 V
0.374 0.903 0.750 V
0.187 0.703 0.861 H
0.813 0.842 0.139 H
0.174 0.203 0.861 H
0.826 0.342 0.139 H
0.282 0.003 0.253 H
0.718 0.750 0.747 H
0.471 0.503 0.253 H
0.529 0.250 0.747 H
0.141 0.675 0.500 H
0.859 0.175 0.500 H
```

total magnetic moment = 0.00 μB/f.u.
DOS at the Fermi energy = 0.391 states/eV/atom
total energy = -5.97 eV/atom


2.
The following is a DFT calculation (PBE-GGA) of a geometry-optimized Ti3V2H4 structure.

POSCAR file:
```
Ti3V2H4
1.0
-2.141 0.088 -1.572
2.953 -3.328 -1.961
-3.924 -3.222 5.161
Ti V H
3 2 4
direct
0.396 0.793 0.606 Ti
0.000 0.000 0.000 Ti
0.604 0.207 0.394 Ti
0.296 0.593 0.200 V
0.704 0.407 0.800 V
0.666 0.332 0.051 H
0.088 0.176 0.625 H
0.912 0.824 0.375 H
0.334 0.668 0.949 H
```

total magnetic moment = 0.00 μB/f.u.
DOS at the Fermi energy = 0.756 states/eV/atom
total energy = -6.28 eV/atom


3.
The following is a DFT calculation (PBE-GGA) of a geometry-optimized Ti2VH2 structure.

POSCAR file:
```
Ti2VH2
1.0
-2.222 -2.326 0.112
2.325 -2.207 0.282
-0.147 -1.835 5.205
H V Ti
2 1 2
direct
0.750 0.250 0.500 H
0.250 0.750 0.500 H
0.000 0.000 0.000 V
0.352 0.352 0.296 Ti
0.648 0.648 0.704 Ti
```

relative energy among the computed polymorphs = 0 meV per atom
total magnetic moment = 0.00 μB/f.u.
DOS at the Fermi energy = 1.136 states/eV/atom


4.
The following is a DFT calculation (PBE-GGA) of a geometry-optimized TiVH2 structure.

POSCAR file:
```
TiVH2
1.0
-1.624 0.551 -2.176
-0.530 -1.975 -1.869
-4.811 -1.920 1.341
Ti V H
1 1 2
direct
0.669 0.669 0.992 Ti
0.499 0.499 0.504 V
0.088 0.088 0.735 H
0.244 0.244 0.269 H
```

relative energy among the computed polymorphs = 187 meV per atom
total magnetic moment = 0.00 μB/f.u.
DOS at the Fermi energy = 0.660 states/eV/atom


5.
The following is a DFT calculation (PBE-GGA) of a geometry-optimized Ti5V3H12 structure.

POSCAR file:
```
Ti5V3H12
1.0
9.282 0.000 0.000
-3.094 8.751 0.000
-3.094 -4.376 7.579
V Ti H
12 20 48
direct
0.750 0.375 0.125 V
0.875 0.750 0.125 V
0.375 0.750 0.625 V
0.250 0.125 0.375 V
0.875 0.125 0.250 V
0.375 0.625 0.250 V
0.625 0.375 0.750 V
0.125 0.875 0.750 V
0.750 0.875 0.625 V
0.625 0.250 0.375 V
0.125 0.250 0.875 V
0.250 0.625 0.875 V
0.125 0.375 0.250 Ti
0.000 0.500 0.000 Ti
0.000 0.000 0.000 Ti
0.375 0.250 0.125 Ti
0.500 0.000 0.500 Ti
0.500 0.500 0.000 Ti
0.125 0.750 0.375 Ti
0.750 0.125 0.875 Ti
0.750 0.625 0.375 Ti
0.375 0.125 0.750 Ti
0.625 0.875 0.250 Ti
0.500 0.500 0.500 Ti
0.500 0.000 0.000 Ti
0.000 0.000 0.500 Ti
0.250 0.375 0.625 Ti
0.250 0.875 0.125 Ti
0.000 0.500 0.500 Ti
0.875 0.250 0.625 Ti
0.625 0.750 0.875 Ti
0.875 0.625 0.750 Ti
0.730 0.153 0.072 H
0.342 0.572 0.419 H
0.928 0.347 0.270 H
0.572 0.230 0.153 H
0.577 0.730 0.658 H
0.928 0.581 0.158 H
0.342 0.770 0.423 H
0.081 0.923 0.153 H
0.581 0.928 0.658 H
0.730 0.577 0.158 H
0.770 0.428 0.347 H
0.842 0.919 0.072 H
0.153 0.730 0.572 H
0.347 0.419 0.077 H
0.077 0.919 0.347 H
0.423 0.153 0.581 H
0.077 0.158 0.230 H
0.428 0.658 0.081 H
0.842 0.923 0.270 H
0.153 0.423 0.081 H
0.347 0.928 0.770 H
0.581 0.653 0.423 H
0.919 0.842 0.572 H
0.770 0.342 0.923 H
0.419 0.347 0.577 H
0.081 0.158 0.428 H
0.230 0.658 0.077 H
0.158 0.077 0.730 H
0.653 0.072 0.230 H
0.847 0.577 0.919 H
0.572 0.342 0.919 H
0.577 0.847 0.419 H
0.923 0.842 0.770 H
0.923 0.081 0.653 H
0.847 0.270 0.428 H
0.158 0.081 0.928 H
0.653 0.581 0.923 H
0.419 0.072 0.342 H
0.270 0.423 0.842 H
0.230 0.572 0.653 H
0.919 0.077 0.847 H
0.658 0.230 0.577 H
0.428 0.770 0.847 H
0.072 0.419 0.842 H
0.423 0.270 0.342 H
0.072 0.653 0.730 H
0.658 0.428 0.581 H
0.270 0.847 0.928 H
```

total magnetic moment = 0.00 μB/f.u.
DOS at the Fermi energy = 0.473 states/eV/atom
total energy = -5.64 eV/atom


6.
The following is a DFT calculation (PBE-GGA) of a geometry-optimized TiV2H6 structure.

POSCAR file:
```
TiV2H6
1.0
-0.295 2.546 1.586
-3.838 0.644 -1.747
0.138 -3.915 3.461
Ti V H
1 2 6
direct
0.000 0.000 0.000 Ti
0.331 0.330 0.661 V
0.669 0.670 0.339 V
0.830 0.087 0.660 H
0.170 0.427 0.340 H
0.170 0.913 0.340 H
0.500 0.264 0.000 H
0.830 0.573 0.660 H
0.500 0.736 0.000 H
```

relative energy among the computed polymorphs = 0 meV per atom
total magnetic moment = 0.00 μB/f.u.
DOS at the Fermi energy = 0.421 states/eV/atom


7.
The following is a DFT calculation (PBE-GGA) of a geometry-optimized TiV3H8 structure.

POSCAR file:
```
TiV3H8
1.0
4.248 0.000 0.000
0.000 4.248 0.000
0.000 0.000 4.248
Ti V H
1 3 8
direct
0.000 0.000 0.000 Ti
0.500 0.500 0.000 V
0.500 0.000 0.500 V
0.000 0.500 0.500 V
0.256 0.256 0.744 H
0.256 0.744 0.256 H
0.744 0.256 0.256 H
0.744 0.744 0.744 H
0.744 0.744 0.256 H
0.744 0.256 0.744 H
0.256 0.744 0.744 H
0.256 0.256 0.256 H
```

total magnetic moment = 0.00 μB/f.u.
DOS at the Fermi energy = 0.275 states/eV/atom
total energy = -5.47 eV/atom


8.
The following is a DFT calculation (PBE-GGA) of a geometry-optimized TiV5H4 structure.

POSCAR file:
```
TiV5H4
1.0
-0.202 1.596 -2.583
-2.153 -5.035 -2.942
-3.968 1.779 3.202
Ti V H
1 5 4
direct
0.500 0.000 0.000 Ti
0.819 0.652 0.639 V
0.830 0.180 0.659 V
0.170 0.820 0.341 V
0.500 0.500 0.000 V
0.181 0.348 0.361 V
0.329 0.028 0.659 H
0.996 0.679 0.992 H
0.671 0.972 0.341 H
0.004 0.321 0.008 H
```

total magnetic moment = 0.00 μB/f.u.
DOS at the Fermi energy = 0.726 states/eV/atom
total energy = -6.87 eV/atom


What is the total magnetic moment in the fifth record?
0.00 μB/f.u.


The highest DOS at the Fermi energy belongs to which entry?
Ti2VH2